Record 1
This record from Alexandria describes a geometry-optimized Ti2ReAu structure. The functional is PBE.

## Properties
crystal system = tetragonal
space group = I-42d
DOS at the Fermi energy = 12.58 states/eV per cell

Geometry as CIF:
```
data_Ti2ReAu
_chemical_formula_sum 'Ti8 Re4 Au4'
_cell_length_a 7.0692
_cell_length_b 7.0692
_cell_length_c 5.5749
_cell_angle_alpha 90.00
_cell_angle_beta 90.00
_cell_angle_gamma 90.00
_space_group_name_H-M_alt 'P 1'
_space_group_IT_number 1
loop_
_space_group_symop_operation_xyz
'x,y,z'
loop_
_atom_site_label
_atom_site_type_symbol
_atom_site_fract_x
_atom_site_fract_y
_atom_site_fract_z
Ti1 Ti 0.2334 0.2500 0.1250
Ti2 Ti 0.2500 0.7334 0.3750
Ti3 Ti 0.2500 0.7666 0.8750
Ti4 Ti 0.2666 0.2500 0.6250
Ti5 Ti 0.7334 0.7500 0.6250
Ti6 Ti 0.7500 0.2334 0.8750
Ti7 Ti 0.7500 0.2666 0.3750
Ti8 Ti 0.7666 0.7500 0.1250
Re1 Re 0.0000 0.0000 0.0000
Re2 Re 0.0000 0.5000 0.2500
Re3 Re 0.5000 0.0000 0.7500
Re4 Re 0.5000 0.5000 0.5000
Au1 Au 0.0000 0.0000 0.5000
Au2 Au 0.0000 0.5000 0.7500
Au3 Au 0.5000 0.0000 0.2500
Au4 Au 0.5000 0.5000 0.0000
```


Record 2
This record from Alexandria describes a geometry-optimized La2HgP structure. The functional is PBE.

## Properties
crystal system = tetragonal
space group = P4/mmm
excess energy over the best structure of this formula in the dataset = 0.107 eV per atom
DOS at the Fermi energy = 3.58 states/eV per cell

Geometry as CIF:
```
data_La2HgP
_chemical_formula_sum 'La2 Hg1 P1'
_cell_length_a 3.7792
_cell_length_b 3.7792
_cell_length_c 7.4301
_cell_angle_alpha 90.00
_cell_angle_beta 90.00
_cell_angle_gamma 90.00
_space_group_name_H-M_alt 'P 1'
_space_group_IT_number 1
loop_
_space_group_symop_operation_xyz
'x,y,z'
loop_
_atom_site_label
_atom_site_type_symbol
_atom_site_fract_x
_atom_site_fract_y
_atom_site_fract_z
La1 La 0.0000 0.0000 0.2171
La2 La 0.0000 0.0000 0.7829
Hg1 Hg 0.5000 0.5000 0.5000
P1 P 0.5000 0.5000 0.0000
```


Number 1: E_form 0.8 eV/f.u.. Number 2: E_form -3.5 eV/f.u..